DFT (PBE) results for a geometry-optimized CrBi2P structure.

Results
Space group ... I-42d, No. 122
M_tot ... 0.99 μB per atom
Formation enthalpy at 0 K ... 57.3 kJ per mole of atoms
N(E_F) ... 5.468 states/eV per cell

Cell: 6.4800 6.4800 7.6910 Å, 65.09 65.09 90.00°
Fractional coordinates of all 8 atoms:
Bi1 0.3750 0.3799 0.7500
Bi2 0.1299 0.6250 0.2500
Bi3 0.6201 0.1250 0.2500
P1 0.5000 0.5000 0.0000
Cr1 0.7500 0.2500 0.5000
P2 0.2500 0.7500 0.5000
Bi4 0.8750 0.8701 0.7500
Cr2 0.0000 0.0000 0.0000